Pm3ErCo2 | PBE | optimized geometry

a b c (Å): 3.7866 8.6105 10.0483
angles (deg): 77.97 79.14 77.30
Last column: nearest neighbours and their distance in Å.
Sites, in units of the cell vectors:
Pm (0.1603, 0.9281, 0.7513)  3 Co 2.76-3.02
Pm (0.8397, 0.0719, 0.2487)  3 Co 2.76-3.02
Pm (0.4165, 0.2303, 0.9367)  3 Co 2.80-2.98
Pm (0.5835, 0.7697, 0.0633)  3 Co 2.80-2.98
Pm (0.5827, 0.2820, 0.5527)  3 Co 2.84-3.04
Pm (0.4173, 0.7180, 0.4473)  3 Co 2.84-3.04
Er (0.8373, 0.5717, 0.7538)  3 Co 2.75-2.94
Er (0.1627, 0.4283, 0.2462)  3 Co 2.75-2.94
Co (0.2320, 0.5810, 0.9550)  2 Co 2.41
Co (0.7680, 0.4190, 0.0450)  2 Co 2.41
Co (0.7652, 0.9203, 0.5492)  2 Co 2.42
Co (0.2348, 0.0797, 0.4508)  2 Co 2.42

Computed properties:
* DOS at the Fermi energy: 1.2693 states/eV per atom
* final energy: -5.606 eV/atom
* V: 25.76 Å³ per atom
* space group: C2/m, No. 12